(1)
Entry from Alexandria: a geometry-optimized KHg11Pb structure (PBE).

Unit cell a=6.4959 b=8.3037 c=8.2765 alpha=81.65 beta=66.89 gamma=68.27
Fractional coordinates of all 13 atoms:
Hg  0.6482  0.3523  0.3567
Hg  0.5000  0.0000  0.5000
Hg  0.3518  0.6477  0.6433
Hg  0.0049  0.3523  0.6433
K  0.0000  0.0000  0.0000
Hg  0.0000  0.5000  0.0000
Hg  0.4964  0.7899  0.2182
Hg  0.5036  0.2101  0.7818
Hg  0.7146  0.7899  0.7818
Hg  0.2854  0.2101  0.2182
Pb  0.5000  0.5000  0.0000
Hg  0.0000  0.0000  0.5000
Hg  0.9951  0.6477  0.3567

Values from the calculation:
Crystal system = monoclinic
Symmetry = C2/m (12)
ΔE_f = -0.042 eV/atom

---

(2)
Entry from Alexandria: a geometry-optimized PdPtPb3 structure (PBE).

Unit cell a=6.8354 b=10.1255 c=7.4200 alpha=110.29 beta=90.00 gamma=90.00
Fractional coordinates of all 20 atoms:
Pb  0.9444  0.3174  0.1648
Pb  0.3996  0.1826  0.3425
Pb  0.0174  0.9814  0.2365
Pt  0.3083  0.9326  0.9369
Pd  0.8073  0.5579  0.4951
Pb  0.6004  0.8174  0.6575
Pt  0.8083  0.5674  0.0631
Pb  0.8996  0.3174  0.6575
Pb  0.4826  0.4814  0.2365
Pb  0.5556  0.8174  0.1648
Pt  0.1917  0.4326  0.9369
Pd  0.6927  0.0579  0.4951
Pt  0.6917  0.0674  0.0631
Pb  0.9826  0.0186  0.7635
Pd  0.1927  0.4421  0.5049
Pb  0.4444  0.1826  0.8352
Pb  0.1004  0.6826  0.3425
Pb  0.5174  0.5186  0.7635
Pb  0.0556  0.6826  0.8352
Pd  0.3073  0.9421  0.5049

Values from the calculation:
ΔE to the lowest computed polymorph = 0 kJ/mol of formula units
Crystal system = monoclinic
Symmetry = P2_1/c (14)
ΔE_f = -0.162 eV/atom

---

(3)
Entry from Alexandria: a geometry-optimized SbRu4 structure (PBE).

Unit cell a=7.0264 b=7.0264 c=7.0264 alpha=150.71 beta=150.71 gamma=41.90
Fractional coordinates of all 5 atoms:
Ru  0.2500  0.7500  0.5000
Ru  0.7500  0.2500  0.5000
Ru  0.6016  0.6016  0.0000
Sb  0.0000  0.0000  0.0000
Ru  0.3984  0.3984  0.0000

Values from the calculation:
ΔE to the lowest computed polymorph = 150 kJ/mol of formula units
Formation energy from raw total energies = 0.405 eV/atom
Crystal system = tetragonal
Symmetry = I4/mmm (139)

---

(4)
Entry from Alexandria: a geometry-optimized TcBr structure (PBE).

Unit cell a=4.7993 b=4.7993 c=4.7993 alpha=124.50 beta=124.50 gamma=82.37
Site moments in Bohr magnetons follow the coordinates.
Fractional coordinates of all 4 atoms:
Br  0.0000  0.0000  0.0000  0.09
Br  0.2500  0.7500  0.5000  0.09
Tc  0.7500  0.2500  0.5000  0.83
Tc  0.5000  0.5000  0.0000  0.83

Values from the calculation:
ΔE to the lowest computed polymorph = 239 kJ/mol of formula units
Formation energy from raw total energies = 1.283 eV/atom
Crystal system = tetragonal
Symmetry = I4_1/amd (141)

---

(5)
Entry from Alexandria: a geometry-optimized LaSbIr2 structure (PBE).

Unit cell a=4.5237 b=4.5237 c=3.9943 alpha=89.95 beta=89.95 gamma=89.99
Fractional coordinates of all 4 atoms:
Ir  0.5000  0.5000  0.0000
Ir  0.0000  0.0000  0.0000
Sb  0.0000  0.5000  0.5000
La  0.5000  0.0000  0.5000

Values from the calculation:
Formation energy from raw total energies = -0.279 eV/atom
Crystal system = tetragonal
Symmetry = P4/mmm (123)

---

(6)
Entry from Alexandria: a geometry-optimized BeSiBiOs2 structure (PBE).

Unit cell a=4.5541 b=4.2146 c=4.5541 alpha=90.00 beta=90.00 gamma=90.00
Fractional coordinates of all 5 atoms:
Os  0.0000  0.0000  0.5000
Be  0.0000  0.5000  0.0000
Bi  0.5000  0.5000  0.5000
Si  0.0000  0.0000  0.0000
Os  0.5000  0.0000  0.0000

Values from the calculation:
Formation energy from raw total energies = 0.901 eV/atom
Crystal system = tetragonal
Symmetry = P4/mmm (123)

---

(7)
Entry from Alexandria: a geometry-optimized Ba2PdAu structure (PBE).

Unit cell a=4.8451 b=6.5028 c=9.0169 alpha=110.54 beta=90.00 gamma=90.00
Fractional coordinates of all 8 atoms:
Ba  0.2500  0.7759  0.0659
Ba  0.7500  0.2241  0.9341
Au  0.2500  0.3514  0.7128
Au  0.7500  0.6486  0.2872
Pd  0.2500  0.3582  0.2149
Pd  0.7500  0.6418  0.7851
Ba  0.7500  0.2278  0.4281
Ba  0.2500  0.7722  0.5719

Values from the calculation:
Crystal system = monoclinic
Symmetry = P2_1/m (11)
ΔE_f = -0.638 eV/atom

---

(8)
Entry from Alexandria: a geometry-optimized La2Pr6Sm3Tl structure (PBE).

Unit cell a=6.3120 b=6.3120 c=12.1413 alpha=95.03 beta=95.03 gamma=120.08
Fractional coordinates of all 12 atoms:
Pr  0.5925  0.9173  0.7503
Sm  0.1681  0.8319  0.5000
Pr  0.2415  0.2415  0.7490
Sm  0.5000  0.5000  0.5000
Pr  0.4075  0.0827  0.2497
La  0.6662  0.3338  0.0000
La  0.3338  0.6662  0.0000
Pr  0.7585  0.7585  0.2510
Tl  0.0000  0.0000  0.0000
Sm  0.8319  0.1681  0.5000
Pr  0.9173  0.5925  0.7503
Pr  0.0827  0.4075  0.2497

Values from the calculation:
Crystal system = monoclinic
Symmetry = C2/m (12)
ΔE_f = -0.039 eV/atom